No. 1
TbGdCS | PBE | relaxed

Summary:
Space group   P-6m2

Cell and atoms, written as POSCAR:
```
TbGdCS
1.0
3.740 0.000 0.000
-1.870 3.239 0.000
0.000 0.000 13.037
Tb Gd C S
2 2 2 2
Direct
0.000 0.000 0.145 Tb
0.000 0.000 0.855 Tb
0.667 0.333 0.354 Gd
0.667 0.333 0.646 Gd
0.333 0.667 0.249 C
0.333 0.667 0.751 C
0.000 0.000 0.500 S
0.667 0.333 0.000 S
```


No. 2
TbGdCS | PBE | relaxed

Summary:
Space group   P6_3mc

Cell and atoms, written as POSCAR:
```
TbGdCS
1.0
3.740 0.000 0.000
-1.870 3.239 0.000
0.000 0.000 13.037
Tb Gd C S
2 2 2 2
Direct
0.333 0.667 0.000 Tb
0.667 0.333 0.500 Tb
0.333 0.667 0.290 Gd
0.667 0.333 0.790 Gd
0.000 0.000 0.396 C
0.000 0.000 0.896 C
0.333 0.667 0.644 S
0.667 0.333 0.144 S
```


No. 3
TbGdCS | PBE | relaxed

Summary:
Space group   P-3m1

Cell and atoms, written as POSCAR:
```
TbGdCS
1.0
3.740 0.000 0.000
-1.870 3.239 0.000
0.000 0.000 13.037
Tb Gd C S
2 2 2 2
Direct
0.333 0.667 0.104 Tb
0.667 0.333 0.896 Tb
0.333 0.667 0.395 Gd
0.667 0.333 0.605 Gd
0.000 0.000 0.000 C
0.000 0.000 0.500 C
0.333 0.667 0.751 S
0.667 0.333 0.249 S
```


No. 4
Gd3TmC2S2 | PBE | relaxed

Summary:
Space group   P3m1

Cell and atoms, written as POSCAR:
```
Gd3TmC2S2
1.0
3.724 0.000 0.000
-1.862 3.225 0.000
0.000 0.000 12.983
Gd Tm C S
3 1 2 2
Direct
0.000 0.000 0.000 Gd
0.000 0.000 0.294 Gd
0.667 0.333 0.506 Gd
0.667 0.333 0.794 Tm
0.333 0.667 0.401 C
0.333 0.667 0.895 C
0.000 0.000 0.655 S
0.667 0.333 0.148 S
```


No. 5
GdYCS | PBE | relaxed

Summary:
Space group   P-3m1

Cell and atoms, written as POSCAR:
```
GdYCS
1.0
3.732 0.000 0.000
-1.866 3.232 0.000
0.000 0.000 13.004
Gd Y C S
2 2 2 2
Direct
0.333 0.667 0.394 Gd
0.667 0.333 0.606 Gd
0.333 0.667 0.104 Y
0.667 0.333 0.896 Y
0.000 0.000 0.000 C
0.000 0.000 0.500 C
0.333 0.667 0.752 S
0.667 0.333 0.248 S
```


No. 6
GdYCS | PBE | relaxed

Summary:
Space group   P6_3mc

Cell and atoms, written as POSCAR:
```
GdYCS
1.0
3.732 0.000 0.000
-1.866 3.232 0.000
0.000 0.000 13.004
Gd Y C S
2 2 2 2
Direct
0.333 0.667 0.000 Gd
0.667 0.333 0.500 Gd
0.333 0.667 0.709 Y
0.667 0.333 0.209 Y
0.000 0.000 0.104 C
0.000 0.000 0.604 C
0.333 0.667 0.352 S
0.667 0.333 0.852 S
```


No. 7
GdYCS | PBE | relaxed

Summary:
Space group   P-6m2

Cell and atoms, written as POSCAR:
```
GdYCS
1.0
3.732 0.000 0.000
-1.866 3.232 0.000
0.000 0.000 13.004
Gd Y C S
2 2 2 2
Direct
0.000 0.000 0.146 Gd
0.000 0.000 0.854 Gd
0.333 0.667 0.355 Y
0.333 0.667 0.645 Y
0.667 0.333 0.251 C
0.667 0.333 0.749 C
0.000 0.000 0.500 S
0.333 0.667 0.000 S
```


No. 8
Gd3YC2S2 | PBE | relaxed

Summary:
Space group   P3m1

Cell and atoms, written as POSCAR:
```
Gd3YC2S2
1.0
3.742 0.000 0.000
-1.871 3.240 0.000
0.000 0.000 13.044
Gd Y C S
3 1 2 2
Direct
0.000 0.000 0.000 Gd
0.000 0.000 0.291 Gd
0.333 0.667 0.790 Gd
0.333 0.667 0.500 Y
0.667 0.333 0.396 C
0.667 0.333 0.894 C
0.000 0.000 0.643 S
0.333 0.667 0.145 S
```


No. 9
GdZr3C2S2 | PBE | relaxed

Summary:
Space group   P3m1

Cell and atoms, written as POSCAR:
```
GdZr3C2S2
1.0
3.489 0.000 0.000
-1.744 3.021 0.000
0.000 0.000 12.526
Gd Zr C S
1 3 2 2
Direct
0.000 0.000 0.000 Gd
0.000 0.000 0.697 Zr
0.333 0.667 0.211 Zr
0.333 0.667 0.502 Zr
0.667 0.333 0.119 C
0.667 0.333 0.599 C
0.000 0.000 0.357 S
0.333 0.667 0.838 S
```


No. 10
GdSbC2 | PBE | relaxed

Summary:
Space group   Cmcm

Cell and atoms, written as POSCAR:
```
GdSbC2
1.0
5.380 0.000 0.000
0.000 9.423 0.000
0.000 0.000 5.568
Gd Sb C
4 4 8
Direct
0.000 0.180 0.250 Gd
0.000 0.820 0.750 Gd
0.500 0.320 0.750 Gd
0.500 0.680 0.250 Gd
0.000 0.500 0.000 Sb
0.000 0.500 0.500 Sb
0.500 0.000 0.000 Sb
0.500 0.000 0.500 Sb
0.121 0.176 0.750 C
0.121 0.824 0.250 C
0.379 0.324 0.250 C
0.379 0.676 0.750 C
0.621 0.324 0.250 C
0.621 0.676 0.750 C
0.879 0.176 0.750 C
0.879 0.824 0.250 C
```


No. 11
Gd3ScC2Se2 | PBE | relaxed

Summary:
Space group   P3m1

Cell and atoms, written as POSCAR:
```
Gd3ScC2Se2
1.0
3.735 0.000 0.000
-1.867 3.234 0.000
0.000 0.000 13.170
Gd Sc C Se
3 1 2 2
Direct
0.000 0.000 0.000 Gd
0.000 0.000 0.307 Gd
0.333 0.667 0.515 Gd
0.333 0.667 0.807 Sc
0.667 0.333 0.412 C
0.667 0.333 0.899 C
0.000 0.000 0.671 Se
0.333 0.667 0.154 Se
```


No. 12
GdScW2C3 | PBE | relaxed

Summary:
Space group   Cm

Cell and atoms, written as POSCAR:
```
GdScW2C3
1.0
11.593 0.000 0.000
0.000 3.275 0.000
-2.048 0.000 5.234
Gd Sc W C
2 2 4 6
Direct
0.000 0.000 0.000 Gd
0.500 0.500 0.000 Gd
0.223 0.000 0.654 Sc
0.723 0.500 0.654 Sc
0.260 0.500 0.141 W
0.451 0.000 0.488 W
0.760 0.000 0.141 W
0.951 0.500 0.488 W
0.110 0.500 0.801 C
0.351 0.500 0.554 C
0.355 0.000 0.076 C
0.610 0.000 0.801 C
0.851 0.000 0.554 C
0.855 0.500 0.076 C
```


No. 13
TbGd3C2Se2 | PBE | relaxed

Summary:
Space group   P3m1

Cell and atoms, written as POSCAR:
```
TbGd3C2Se2
1.0
3.802 0.000 0.000
-1.901 3.293 0.000
0.000 0.000 13.426
Tb Gd C Se
1 3 2 2
Direct
0.000 0.000 0.000 Tb
0.000 0.000 0.702 Gd
0.667 0.333 0.201 Gd
0.667 0.333 0.500 Gd
0.333 0.667 0.100 C
0.333 0.667 0.601 C
0.000 0.000 0.351 Se
0.667 0.333 0.851 Se
```


No. 14
Gd3ZrC2Se2 | PBE | relaxed

Summary:
Space group   P3m1

Cell and atoms, written as POSCAR:
```
Gd3ZrC2Se2
1.0
3.700 0.000 0.000
-1.850 3.204 0.000
0.000 0.000 13.316
Gd Zr C Se
3 1 2 2
Direct
0.000 0.000 0.000 Gd
0.000 0.000 0.303 Gd
0.333 0.667 0.508 Gd
0.333 0.667 0.806 Zr
0.667 0.333 0.408 C
0.667 0.333 0.890 C
0.000 0.000 0.668 Se
0.333 0.667 0.150 Se
```


No. 15
TbGdSi2W2C | PBE | relaxed

Summary:
Space group   Cm

Cell and atoms, written as POSCAR:
```
TbGdSi2W2C
1.0
11.109 0.000 0.000
0.000 3.857 0.000
-4.144 0.000 5.845
Tb Gd Si W C
2 2 4 4 2
Direct
0.000 0.000 0.000 Tb
0.500 0.500 0.000 Tb
0.149 0.000 0.594 Gd
0.649 0.500 0.594 Gd
0.207 0.500 0.960 Si
0.442 0.000 0.634 Si
0.707 0.000 0.960 Si
0.942 0.500 0.634 Si
0.282 0.500 0.379 W
0.367 0.000 0.213 W
0.782 0.000 0.379 W
0.867 0.500 0.213 W
0.074 0.500 0.295 C
0.574 0.000 0.295 C
```


No. 16
GdTmSi2W2C | PBE | relaxed

Summary:
Space group   Cm

Cell and atoms, written as POSCAR:
```
GdTmSi2W2C
1.0
11.088 0.000 0.000
0.000 3.832 0.000
-4.113 0.000 5.804
Gd Tm Si W C
2 2 4 4 2
Direct
0.000 0.000 0.000 Gd
0.500 0.500 0.000 Gd
0.149 0.000 0.592 Tm
0.649 0.500 0.592 Tm
0.207 0.500 0.958 Si
0.444 0.000 0.635 Si
0.707 0.000 0.958 Si
0.944 0.500 0.635 Si
0.283 0.500 0.383 W
0.368 0.000 0.215 W
0.783 0.000 0.383 W
0.868 0.500 0.215 W
0.077 0.500 0.303 C
0.577 0.000 0.303 C
```


No. 17
Gd2SiW2C2 | PBE | relaxed

Summary:
Space group   C2/m

Cell and atoms, written as POSCAR:
```
Gd2SiW2C2
1.0
13.923 0.000 0.000
0.000 3.320 0.000
-2.361 0.000 5.350
Gd Si W C
4 2 4 4
Direct
0.130 0.000 0.304 Gd
0.370 0.500 0.696 Gd
0.630 0.500 0.304 Gd
0.870 0.000 0.696 Gd
0.000 0.500 0.500 Si
0.500 0.000 0.500 Si
0.174 0.500 0.838 W
0.326 0.000 0.162 W
0.674 0.000 0.838 W
0.826 0.500 0.162 W
0.250 0.000 0.759 C
0.250 0.500 0.241 C
0.750 0.000 0.241 C
0.750 0.500 0.759 C
```


No. 18
Sm2GdTa2C6 | PBE | relaxed

Summary:
Space group   I4/mmm

Cell and atoms, written as POSCAR:
```
Sm2GdTa2C6
1.0
-2.018 2.018 10.597
2.018 -2.018 10.597
2.018 2.018 -10.597
Sm Gd Ta C
2 1 2 6
Direct
0.187 0.187 0.000 Sm
0.813 0.813 0.000 Sm
0.000 0.000 0.000 Gd
0.399 0.399 0.000 Ta
0.601 0.601 0.000 Ta
0.077 0.577 0.500 C
0.303 0.303 0.000 C
0.423 0.923 0.500 C
0.577 0.077 0.500 C
0.697 0.697 0.000 C
0.923 0.423 0.500 C
```


No. 19
GdY3Sn2C2 | PBE | relaxed

Summary:
Space group   P3m1

Cell and atoms, written as POSCAR:
```
GdY3Sn2C2
1.0
3.642 0.000 0.000
-1.821 3.154 0.000
0.000 0.000 15.905
Gd Y Sn C
1 3 2 2
Direct
0.000 0.000 0.000 Gd
0.000 0.000 0.331 Y
0.333 0.667 0.500 Y
0.333 0.667 0.829 Y
0.000 0.000 0.665 Sn
0.333 0.667 0.167 Sn
0.667 0.333 0.416 C
0.667 0.333 0.914 C
```


No. 20
GdYSnC | PBE | relaxed

Summary:
Space group   P-6m2

Cell and atoms, written as POSCAR:
```
GdYSnC
1.0
3.647 0.000 0.000
-1.823 3.158 0.000
0.000 0.000 15.974
Gd Y Sn C
2 2 2 2
Direct
0.000 0.000 0.166 Gd
0.000 0.000 0.834 Gd
0.333 0.667 0.336 Y
0.333 0.667 0.664 Y
0.000 0.000 0.500 Sn
0.333 0.667 0.000 Sn
0.667 0.333 0.251 C
0.667 0.333 0.749 C
```


No. 21
GdYSnC | PBE | relaxed

Summary:
Space group   P-3m1

Cell and atoms, written as POSCAR:
```
GdYSnC
1.0
3.645 0.000 0.000
-1.822 3.157 0.000
0.000 0.000 15.987
Gd Y Sn C
2 2 2 2
Direct
0.333 0.667 0.086 Gd
0.667 0.333 0.914 Gd
0.333 0.667 0.416 Y
0.667 0.333 0.584 Y
0.333 0.667 0.748 Sn
0.667 0.333 0.252 Sn
0.000 0.000 0.000 C
0.000 0.000 0.500 C
```


No. 22
GdTa3C | PBE | relaxed

Summary:
Space group   Pm-3m

Cell and atoms, written as POSCAR:
```
GdTa3C
1.0
4.459 0.000 0.000
0.000 4.459 0.000
0.000 0.000 4.459
Gd Ta C
1 3 1
Direct
0.000 0.000 0.000 Gd
0.000 0.500 0.500 Ta
0.500 0.000 0.500 Ta
0.500 0.500 0.000 Ta
0.500 0.500 0.500 C
```


No. 23
TbGdTeC | PBE | relaxed

Summary:
Space group   P-6m2

Cell and atoms, written as POSCAR:
```
TbGdTeC
1.0
3.866 0.000 0.000
-1.933 3.348 0.000
0.000 0.000 14.165
Tb Gd Te C
2 2 2 2
Direct
0.000 0.000 0.156 Tb
0.000 0.000 0.844 Tb
0.667 0.333 0.343 Gd
0.667 0.333 0.657 Gd
0.000 0.000 0.500 Te
0.667 0.333 0.000 Te
0.333 0.667 0.249 C
0.333 0.667 0.751 C
```


No. 24
TbGdTeC | PBE | relaxed

Summary:
Space group   P-3m1

Cell and atoms, written as POSCAR:
```
TbGdTeC
1.0
3.866 0.000 0.000
-1.933 3.348 0.000
0.000 0.000 14.162
Tb Gd Te C
2 2 2 2
Direct
0.333 0.667 0.093 Tb
0.667 0.333 0.907 Tb
0.333 0.667 0.406 Gd
0.667 0.333 0.594 Gd
0.333 0.667 0.751 Te
0.667 0.333 0.249 Te
0.000 0.000 0.000 C
0.000 0.000 0.500 C
```


No. 25
TbGdW2C3 | PBE | relaxed

Summary:
Space group   Cm

Cell and atoms, written as POSCAR:
```
TbGdW2C3
1.0
11.930 0.000 0.000
0.000 3.336 0.000
-2.258 0.000 5.298
Tb Gd W C
2 2 4 6
Direct
0.000 0.000 0.000 Tb
0.500 0.500 0.000 Tb
0.220 0.000 0.638 Gd
0.720 0.500 0.638 Gd
0.266 0.500 0.145 W
0.454 0.000 0.494 W
0.766 0.000 0.145 W
0.954 0.500 0.494 W
0.110 0.500 0.819 C
0.360 0.000 0.086 C
0.360 0.500 0.552 C
0.610 0.000 0.819 C
0.860 0.000 0.552 C
0.860 0.500 0.086 C
```


no.,V (Å³/atom),total energy (eV/atom)
1,19.741,-6.878
2,19.739,-6.878
3,19.740,-6.878
4,19.496,-6.870
5,19.607,-7.351
6,19.606,-7.352
7,19.609,-7.352
8,19.767,-7.112
9,16.504,-8.412
10,17.643,-6.465
11,19.884,-6.812
12,14.194,-9.561
13,21.008,-6.616
14,19.734,-7.094
15,17.889,-8.439
16,17.615,-8.412
17,17.663,-8.670
18,15.686,-8.343
19,22.832,-6.849
20,22.998,-6.605
21,22.991,-6.605
22,17.731,-9.803
23,22.920,-6.265
24,22.916,-6.265
25,15.062,-9.301